Record 1
Material: Pr2PuRuN4
Method: DFT, PBE
State: relaxed

## Properties
**E_form (uncorrected)**: -719 meV/atom
**Final energy**: -9.028 eV/atom

```
data_Pr2PuRuN4
_chemical_formula_sum 'Pr8 Pu4 Ru4 N16'
_symmetry_space_group_name_H-M 'C m c m'
_symmetry_Int_Tables_number 63
_symmetry_space_group_name_Hall '-C 2c 2'
_cell_length_a 3.4025
_cell_length_b 11.8634
_cell_length_c 12.1460
_cell_angle_alpha 90.00
_cell_angle_beta 90.00
_cell_angle_gamma 90.00
loop_
_atom_site_label
_atom_site_type_symbol
_atom_site_fract_x
_atom_site_fract_y
_atom_site_fract_z
_atom_site_occupancy
Pr1 Pr 0.0000 0.1319 0.0490 1
Pu1 Pu 0.0000 0.3883 0.2500 1
Ru1 Ru 0.0000 0.3492 0.7500 1
N1 N 0.0000 0.0402 0.2500 1
N2 N 0.0000 0.2167 0.6436 1
N3 N 0.0000 0.5000 0.0000 1
```

Record 2
Material: PrPuS2N
Method: DFT, PBE
State: relaxed

## Properties
**E_form (uncorrected)**: -1631 meV/atom
**Final energy**: -8.769 eV/atom

```
data_PrPuS2N
_chemical_formula_sum 'Pr2 Pu2 S4 N2'
_symmetry_space_group_name_H-M 'P 4/n m m'
_symmetry_Int_Tables_number 129
_cell_length_a 3.9008
_cell_length_b 3.9008
_cell_length_c 14.2749
_cell_angle_alpha 90.00
_cell_angle_beta 90.00
_cell_angle_gamma 90.00
loop_
_symmetry_equiv_pos_as_xyz
'x,y,z'
'-x,-y,-z'
'-y+1/2,x,z'
'y+1/2,-x,-z'
'-x+1/2,-y+1/2,z'
'x+1/2,y+1/2,-z'
'y,-x+1/2,z'
'-y,x+1/2,-z'
'x+1/2,-y,-z'
'-x+1/2,y,z'
'-y,-x,-z'
'y,x,z'
'-x,y+1/2,-z'
'x,-y+1/2,z'
'y+1/2,x+1/2,-z'
'-y+1/2,-x+1/2,z'
loop_
_atom_site_label
_atom_site_type_symbol
_atom_site_fract_x
_atom_site_fract_y
_atom_site_fract_z
_atom_site_occupancy
Pr1 Pr 0.2500 0.2500 0.1304 1
Pu1 Pu 0.2500 0.2500 0.5791 1
S1 S 0.2500 0.2500 0.3195 1
S2 S 0.2500 0.2500 0.9101 1
N1 N 0.2500 0.7500 0.5000 1
```

Record 3
Material: PrPuSN
Method: DFT, PBE
State: relaxed

## Properties
**E_form (uncorrected)**: -1557 meV/atom
**Final energy**: -9.448 eV/atom

```
data_PrPuSN
_chemical_formula_sum 'Pr3 Pu3 S3 N3'
_symmetry_space_group_name_H-M 'R 3 m'
_symmetry_Int_Tables_number 160
_symmetry_space_group_name_Hall 'R 3 -2"'
_cell_length_a 3.7439
_cell_length_b 3.7439
_cell_length_c 19.2650
_cell_angle_alpha 90.00
_cell_angle_beta 90.00
_cell_angle_gamma 120.00
loop_
_atom_site_label
_atom_site_type_symbol
_atom_site_fract_x
_atom_site_fract_y
_atom_site_fract_z
_atom_site_occupancy
Pr1 Pr 0.0000 0.0000 0.0000 1
Pu1 Pu 0.0000 0.0000 0.5236 1
S1 S 0.0000 0.0000 0.7663 1
N1 N 0.0000 0.0000 0.2540 1
```